Entry 1:
VASP calculation (GGA-PBE) on a relaxed HoTm4Al2 crystal.

D(E_F), states/eV/f.u.: 8.13
Distance to the lowest polymorph of the same formula, meV/atom: 391
Calculated total energy, eV/atom: -3.96

Cell lengths 5.568, 5.568, 7.434 Å; angles 111.99, 111.99, 90.00 degrees
Positions (direct):
1 Tm 0.750 0.250 0.500
2 Tm 0.000 0.500 0.000
3 Tm 0.250 0.750 0.500
4 Tm 0.500 0.000 0.000
5 Ho 0.000 0.000 0.000
6 Al 0.384 0.384 0.768
7 Al 0.616 0.616 0.232

Entry 2:
VASP calculation (GGA-PBE) on a relaxed Ho3Tm12Al5 crystal.

D(E_F), states/eV/f.u.: 36.93
Calculated total energy, eV/atom: -3.64

Cell lengths 15.342, 15.342, 15.342 Å; angles 109.47, 109.47, 109.47 degrees
Positions (direct):
1 Tm 0.405 0.119 0.573
2 Tm 0.714 0.595 0.169
3 Tm 0.881 0.286 0.455
4 Tm 0.573 0.955 0.669
5 Tm 0.073 0.169 0.455
6 Tm 0.286 0.881 0.955
7 Tm 0.786 0.331 0.905
8 Tm 0.119 0.714 0.545
9 Tm 0.119 0.405 0.073
10 Tm 0.169 0.095 0.714
11 Tm 0.381 0.427 0.095
12 Tm 0.095 0.169 0.214
13 Tm 0.331 0.786 0.405
14 Tm 0.381 0.955 0.786
15 Tm 0.573 0.619 0.405
16 Tm 0.955 0.381 0.286
17 Tm 0.405 0.286 0.331
18 Tm 0.595 0.714 0.669
19 Tm 0.455 0.786 0.881
20 Tm 0.427 0.045 0.331
21 Tm 0.714 0.119 0.045
22 Tm 0.905 0.831 0.786
23 Tm 0.905 0.073 0.619
24 Tm 0.169 0.073 0.955
25 Tm 0.073 0.905 0.119
26 Tm 0.455 0.669 0.073
27 Tm 0.955 0.573 0.169
28 Tm 0.927 0.095 0.881
29 Tm 0.095 0.927 0.381
30 Tm 0.214 0.669 0.095
31 Tm 0.045 0.427 0.831
32 Tm 0.545 0.331 0.927
33 Tm 0.045 0.619 0.714
34 Tm 0.927 0.831 0.545
35 Tm 0.619 0.573 0.905
36 Tm 0.619 0.045 0.214
37 Tm 0.669 0.214 0.595
38 Tm 0.286 0.405 0.831
39 Tm 0.545 0.214 0.119
40 Tm 0.427 0.381 0.595
41 Tm 0.786 0.455 0.381
42 Tm 0.669 0.455 0.573
43 Tm 0.831 0.905 0.286
44 Tm 0.214 0.545 0.619
45 Tm 0.331 0.545 0.427
46 Tm 0.881 0.595 0.927
47 Tm 0.831 0.927 0.045
48 Tm 0.595 0.881 0.427
49 Ho 0.625 0.375 0.750
50 Ho 0.875 0.125 0.250
51 Ho 0.125 0.875 0.750
52 Ho 0.875 0.750 0.125
53 Ho 0.250 0.625 0.875
54 Ho 0.250 0.125 0.375
55 Ho 0.750 0.375 0.125
56 Ho 0.750 0.875 0.625
57 Ho 0.375 0.625 0.250
58 Ho 0.375 0.750 0.625
59 Ho 0.125 0.250 0.875
60 Ho 0.625 0.250 0.375
61 Al 0.500 0.500 0.500
62 Al 0.250 0.875 0.125
63 Al 0.375 0.250 0.125
64 Al 0.000 0.000 0.000
65 Al 0.500 0.000 0.500
66 Al 0.000 0.500 0.500
67 Al 0.375 0.125 0.750
68 Al 0.500 0.500 0.000
69 Al 0.125 0.375 0.250
70 Al 0.625 0.875 0.250
71 Al 0.750 0.625 0.375
72 Al 0.625 0.750 0.875
73 Al 0.000 0.500 0.000
74 Al 0.500 0.000 0.000
75 Al 0.875 0.625 0.750
76 Al 0.125 0.750 0.375
77 Al 0.000 0.000 0.500
78 Al 0.750 0.125 0.875
79 Al 0.875 0.250 0.625
80 Al 0.250 0.375 0.625

Entry 3:
VASP calculation (GGA-PBE) on a relaxed Ho2Tm3Al4 crystal.

D(E_F), states/eV/f.u.: 8.90
Calculated total energy, eV/atom: -4.37

Cell lengths 6.141, 7.534, 10.166 Å; angles 90.00, 107.58, 90.00 degrees
Positions (direct):
1 Tm 0.499 0.250 0.497
2 Tm 0.500 0.500 0.000
3 Tm 0.999 0.250 0.497
4 Tm 0.501 0.750 0.503
5 Tm 0.001 0.750 0.503
6 Tm 0.000 0.000 0.000
7 Ho 0.089 0.604 0.179
8 Ho 0.411 0.104 0.821
9 Ho 0.589 0.896 0.179
10 Ho 0.911 0.396 0.821
11 Al 0.651 0.511 0.302
12 Al 0.337 0.250 0.174
13 Al 0.151 0.989 0.302
14 Al 0.349 0.489 0.698
15 Al 0.163 0.750 0.826
16 Al 0.663 0.750 0.826
17 Al 0.837 0.250 0.174
18 Al 0.849 0.011 0.698

Entry 4:
VASP calculation (GGA-PBE) on a relaxed Ho2TmAl2 crystal.

D(E_F), states/eV/f.u.: 5.76
Distance to the lowest polymorph of the same formula, meV/atom: 5
Calculated total energy, eV/atom: -4.53

Cell lengths 4.741, 5.763, 5.763 Å; angles 68.83, 65.71, 65.71 degrees
Positions (direct):
1 Al 0.500 0.701 0.299
2 Al 0.500 0.299 0.701
3 Ho 0.196 0.304 0.304
4 Ho 0.804 0.696 0.696
5 Tm 0.000 0.000 0.000

no.,ΔE_f (eV/atom)
1,0.32
2,0.66
3,-0.20
4,-0.31